DFT (PBE) results for a geometry-optimized La3Ce2DyAs6 structure.

Geometry as POSCAR:
```
La3Ce2DyAs6
1.0
3.704 -6.414 0.000
3.704 6.414 0.000
-2.469 0.000 7.004
La Ce Dy As
3 2 1 6
Direct
0.000 0.000 0.000
0.333 0.667 0.000
0.667 0.333 0.000
0.167 0.833 0.500
0.833 0.167 0.500
0.500 0.500 0.500
0.089 0.421 0.262
0.247 0.247 0.739
0.421 0.089 0.262
0.579 0.911 0.738
0.753 0.753 0.261
0.911 0.579 0.738
```

Computed properties:
ρ   6.5 g cm⁻³
SG   C2/m (12)
Energy relative to the elements   -1.515 eV/atom
DOS(E_F)   0.9579 states/eV per atom